Computed, not measured: Cr2CoTc after structural relaxation at the PBE level of DFT. Values from VASP.

Output
E_tot   -9.01 eV per atom
Energy of formation from the pure elements   0.167 eV per atom
M_tot   0.000 μB per formula unit
Space-group type   Cm (8)
Crystal system   monoclinic

```
&SYSTEM
  ibrav = 0, nat = 4, ntyp = 3
/
ATOMIC_SPECIES
Co 58.93 Co.upf
Cr 52.00 Cr.upf
Tc 98.00 Tc.upf
CELL_PARAMETERS angstrom
-2.355 1.065 3.634
-3.742 -0.672 2.330
1.455 -3.234 2.761
ATOMIC_POSITIONS angstrom
Co -1.195 -0.677 2.174
Cr -3.451 -2.159 6.549
Cr -6.034 0.364 5.936
Tc -2.379 -1.397 4.394
```